Entry 1
DFT (PBEsol) results for a geometry-optimized ReNi2Ru structure.

CIF file:
```
data_ReNi2Ru
_cell_length_a 2.648
_cell_length_b 3.619
_cell_length_c 5.123
_cell_angle_alpha 90.00
_cell_angle_beta 90.00
_cell_angle_gamma 90.00
_symmetry_space_group_name_H-M 'P 1'
_symmetry_Int_Tables_number 1
_symmetry_space_group_name_Hall 'P 1'
loop_
_atom_site_label
_atom_site_fract_x
_atom_site_fract_y
_atom_site_fract_z
_atom_site_occupancy
Re1 0.000 0.000 0.000 1
Ni1 0.000 0.000 0.519 1
Ni2 0.500 0.500 0.744 1
Ru1 0.500 0.500 0.257 1
```

Calculated values
- total moment (μB per atom) = 0.0004
- space-group type = No. 25

***

Entry 2
DFT (PBEsol) results for a geometry-optimized ReNi2Ru structure.

CIF file:
```
data_ReNi2Ru
_cell_length_a 3.643
_cell_length_b 3.643
_cell_length_c 7.332
_cell_angle_alpha 90.00
_cell_angle_beta 90.00
_cell_angle_gamma 90.00
_symmetry_space_group_name_H-M 'P 1'
_symmetry_Int_Tables_number 1
_symmetry_space_group_name_Hall 'P 1'
loop_
_atom_site_label
_atom_site_fract_x
_atom_site_fract_y
_atom_site_fract_z
_atom_site_occupancy
Re1 0.000 0.000 0.000 1
Re2 0.500 0.500 0.500 1
Ni1 0.000 0.000 0.500 1
Ni2 0.000 0.500 0.750 1
Ni3 0.500 0.000 0.250 1
Ni4 0.500 0.500 0.000 1
Ru1 0.000 0.500 0.250 1
Ru2 0.500 0.000 0.750 1
```

Calculated values
- total moment (μB per atom) = 0.0000
- space-group type = No. 119

***

Entry 3
DFT (PBEsol) results for a geometry-optimized ReNi2Ru structure.

CIF file:
```
data_ReNi2Ru
_cell_length_a 5.794
_cell_length_b 5.794
_cell_length_c 5.794
_cell_angle_alpha 90.00
_cell_angle_beta 90.00
_cell_angle_gamma 90.00
_symmetry_space_group_name_H-M 'P 1'
_symmetry_Int_Tables_number 1
_symmetry_space_group_name_Hall 'P 1'
loop_
_atom_site_label
_atom_site_fract_x
_atom_site_fract_y
_atom_site_fract_z
_atom_site_occupancy
Re1 0.000 0.000 0.000 1
Re2 0.000 0.500 0.500 1
Re3 0.500 0.000 0.500 1
Re4 0.500 0.500 0.000 1
Ni1 0.250 0.250 0.250 1
Ni2 0.250 0.250 0.750 1
Ni3 0.250 0.750 0.250 1
Ni4 0.250 0.750 0.750 1
Ni5 0.750 0.250 0.250 1
Ni6 0.750 0.250 0.750 1
Ni7 0.750 0.750 0.250 1
Ni8 0.750 0.750 0.750 1
Ru1 0.000 0.000 0.500 1
Ru2 0.000 0.500 0.000 1
Ru3 0.500 0.000 0.000 1
Ru4 0.500 0.500 0.500 1
```

Calculated values
- total moment (μB per atom) = 0.0001
- space-group type = No. 225

***

Entry 4
DFT (PBEsol) results for a geometry-optimized ReNi2Ru structure.

CIF file:
```
data_ReNi2Ru
_cell_length_a 3.622
_cell_length_b 3.622
_cell_length_c 7.419
_cell_angle_alpha 90.00
_cell_angle_beta 90.00
_cell_angle_gamma 90.00
_symmetry_space_group_name_H-M 'P 1'
_symmetry_Int_Tables_number 1
_symmetry_space_group_name_Hall 'P 1'
loop_
_atom_site_label
_atom_site_fract_x
_atom_site_fract_y
_atom_site_fract_z
_atom_site_occupancy
Re1 0.000 0.000 0.000 1
Re2 0.500 0.500 0.500 1
Ni1 0.000 0.500 0.250 1
Ni2 0.000 0.500 0.750 1
Ni3 0.500 0.000 0.250 1
Ni4 0.500 0.000 0.750 1
Ru1 0.000 0.000 0.500 1
Ru2 0.500 0.500 0.000 1
```

Calculated values
- total moment (μB per atom) = 0.0000
- space-group type = No. 139

***

Which one sits at the bottom of the stability order? entry 3 does.

***

Entry 1
DFT (PBEsol) results for a geometry-optimized ScReNi2 structure.

CIF file:
```
data_ScReNi2
_cell_length_a 9.318
_cell_length_b 2.658
_cell_length_c 4.512
_cell_angle_alpha 90.00
_cell_angle_beta 107.44
_cell_angle_gamma 90.00
_symmetry_space_group_name_H-M 'P 1'
_symmetry_Int_Tables_number 1
_symmetry_space_group_name_Hall 'P 1'
loop_
_atom_site_label
_atom_site_fract_x
_atom_site_fract_y
_atom_site_fract_z
_atom_site_occupancy
Sc1 0.000 0.000 0.000 1
Sc2 0.500 0.500 0.000 1
Re1 0.278 0.500 0.372 1
Re2 0.778 0.000 0.372 1
Ni1 0.026 0.500 0.507 1
Ni2 0.239 0.000 0.839 1
Ni3 0.526 0.000 0.507 1
Ni4 0.739 0.500 0.839 1
```

Calculated values
- total moment (μB per atom) = 0.0001
- space-group type = No. 8

***

Entry 2
DFT (PBEsol) results for a geometry-optimized ScReNi2 structure.

CIF file:
```
data_ScReNi2
_cell_length_a 4.595
_cell_length_b 2.653
_cell_length_c 4.822
_cell_angle_alpha 90.00
_cell_angle_beta 112.65
_cell_angle_gamma 90.00
_symmetry_space_group_name_H-M 'P 1'
_symmetry_Int_Tables_number 1
_symmetry_space_group_name_Hall 'P 1'
loop_
_atom_site_label
_atom_site_fract_x
_atom_site_fract_y
_atom_site_fract_z
_atom_site_occupancy
Sc1 0.000 0.000 0.000 1
Re1 0.000 0.500 0.500 1
Ni1 0.500 0.000 0.500 1
Ni2 0.500 0.500 0.000 1
```

Calculated values
- total moment (μB per atom) = 0.0000
- space-group type = No. 10

***

Which one sits at the bottom of the stability order? entry 2 does.